# 1
# PBE Sc3In, optimized geometry
data_Sc3In
_cell_length_a 3.332
_cell_length_b 3.332
_cell_length_c 8.517
_cell_angle_alpha 90.00
_cell_angle_beta 90.00
_cell_angle_gamma 90.00
_symmetry_space_group_name_H-M 'P 4/m m m'
_symmetry_Int_Tables_number 123
_symmetry_space_group_name_Hall '-P 4 2'
loop_
_atom_site_label
_atom_site_type_symbol
_atom_site_fract_x
_atom_site_fract_y
_atom_site_fract_z
Sc1 Sc 0.000 0.000 0.000
Sc2 Sc 0.500 0.500 0.260
In1 In 0.000 0.000 0.500
# Excess energy over the best structure of this formula in the dataset   76 meV per atom
# Uncorrected energy   -22.6 eV/cell
# Total magnetic moment   0.00 Bohr magnetons per cell
# Calculated volume   23.65 A^3/atom
# DFT formation energy   -0.22 eV/atom



# 2
# PBE ScIn, optimized geometry
data_ScIn
_cell_length_a 5.1165
_cell_length_b 5.1165
_cell_length_c 5.7898
_cell_angle_alpha 90.00
_cell_angle_beta 90.00
_cell_angle_gamma 120.00
_symmetry_space_group_name_H-M 'P 63/m m c'
_symmetry_Int_Tables_number 194
_symmetry_space_group_name_Hall '-P 6c 2c'
loop_
_atom_site_label
_atom_site_type_symbol
_atom_site_fract_x
_atom_site_fract_y
_atom_site_fract_z
Sc1 Sc 0.3333 0.6667 0.2500
In1 In 0.3333 0.6667 0.7500
# Uncorrected energy   -16.7 eV/cell
# Total magnetic moment   0.00 Bohr magnetons per cell
# Calculated volume   32.82 A^3/atom
# DFT formation energy   0.36 eV/atom



# 3
# PBE Sc2In3, optimized geometry
data_Sc2In3
_cell_length_a 4.8926
_cell_length_b 4.8926
_cell_length_c 16.9937
_cell_angle_alpha 90.00
_cell_angle_beta 90.00
_cell_angle_gamma 120.00
_symmetry_space_group_name_H-M 'R -3 m'
_symmetry_Int_Tables_number 166
_symmetry_space_group_name_Hall '-R 3 2"'
loop_
_atom_site_label
_atom_site_type_symbol
_atom_site_fract_x
_atom_site_fract_y
_atom_site_fract_z
Sc1 Sc 0.0000 0.0000 0.1048
In1 In 0.0000 0.0000 0.3010
In2 In 0.0000 0.0000 0.5000
# Uncorrected energy   -66.7 eV/cell
# Total magnetic moment   0.00 Bohr magnetons per cell
# Calculated volume   23.49 A^3/atom
# DFT formation energy   -0.27 eV/atom



# 4
# PBE ScIn, optimized geometry
data_ScIn
_cell_length_a 10.175
_cell_length_b 8.873
_cell_length_c 6.196
_cell_angle_alpha 90.00
_cell_angle_beta 90.00
_cell_angle_gamma 90.00
_symmetry_space_group_name_H-M 'P b c m'
_symmetry_Int_Tables_number 57
loop_
_symmetry_equiv_pos_as_xyz
'x,y,z'
'-x,-y,-z'
'-x,-y,z+1/2'
'x,y,-z+1/2'
'x,-y+1/2,-z'
'-x,y+1/2,z'
'-x,y+1/2,-z+1/2'
'x,-y+1/2,z+1/2'
loop_
_atom_site_label
_atom_site_type_symbol
_atom_site_fract_x
_atom_site_fract_y
_atom_site_fract_z
Sc1 Sc 0.117 0.250 0.000
Sc2 Sc 0.169 0.640 0.250
Sc3 Sc 0.368 0.043 0.250
In1 In 0.082 0.546 0.750
In2 In 0.355 0.109 0.750
In3 In 0.410 0.750 0.000
# Uncorrected energy   -117.9 eV/cell
# Total magnetic moment   0.00 Bohr magnetons per cell
# Calculated volume   23.31 A^3/atom
# DFT formation energy   -0.38 eV/atom



# 5
# PBE ScIn3, optimized geometry
data_ScIn3
_cell_length_a 3.928
_cell_length_b 3.928
_cell_length_c 6.294
_cell_angle_alpha 90.00
_cell_angle_beta 90.00
_cell_angle_gamma 90.00
_symmetry_space_group_name_H-M 'P 4/m m m'
_symmetry_Int_Tables_number 123
_symmetry_space_group_name_Hall '-P 4 2'
loop_
_atom_site_label
_atom_site_type_symbol
_atom_site_fract_x
_atom_site_fract_y
_atom_site_fract_z
Sc1 Sc 0.000 0.000 0.000
In1 In 0.000 0.000 0.500
In2 In 0.500 0.500 0.245
# Uncorrected energy   -15.2 eV/cell
# Total magnetic moment   0.00 Bohr magnetons per cell
# Calculated volume   24.28 A^3/atom
# DFT formation energy   -0.17 eV/atom



# 6
# PBE Sc2In3, optimized geometry
data_Sc2In3
_cell_length_a 7.177
_cell_length_b 7.177
_cell_length_c 4.442
_cell_angle_alpha 90.00
_cell_angle_beta 90.00
_cell_angle_gamma 90.00
_symmetry_space_group_name_H-M 'P 4/m'
_symmetry_Int_Tables_number 83
loop_
_symmetry_equiv_pos_as_xyz
'x,y,z'
'-x,-y,-z'
'-y,x,z'
'y,-x,-z'
'-x,-y,z'
'x,y,-z'
'y,-x,z'
'-y,x,-z'
loop_
_atom_site_label
_atom_site_type_symbol
_atom_site_fract_x
_atom_site_fract_y
_atom_site_fract_z
Sc1 Sc 0.123 0.697 0.000
In1 In 0.000 0.000 0.500
In2 In 0.184 0.396 0.500
In3 In 0.500 0.500 0.000
# Uncorrected energy   -45.6 eV/cell
# Total magnetic moment   0.00 Bohr magnetons per cell
# Calculated volume   22.89 A^3/atom
# DFT formation energy   -0.38 eV/atom



# 7
# PBE Sc3In, optimized geometry
data_Sc3In
_cell_length_a 6.452
_cell_length_b 8.916
_cell_length_c 3.294
_cell_angle_alpha 90.00
_cell_angle_beta 90.00
_cell_angle_gamma 90.00
_symmetry_space_group_name_H-M 'C m m m'
_symmetry_Int_Tables_number 65
_symmetry_space_group_name_Hall '-C 2 2'
loop_
_atom_site_label
_atom_site_type_symbol
_atom_site_fract_x
_atom_site_fract_y
_atom_site_fract_z
Sc1 Sc 0.000 0.000 0.000
Sc2 Sc 0.250 0.250 0.500
In1 In 0.000 0.500 0.000
# Excess energy over the best structure of this formula in the dataset   128 meV per atom
# Uncorrected energy   -44.8 eV/cell
# Total magnetic moment   1.70 Bohr magnetons per cell
# Calculated volume   23.69 A^3/atom
# DFT formation energy   -0.17 eV/atom



# 8
# PBE ScIn, optimized geometry
data_ScIn
_cell_length_a 10.369
_cell_length_b 10.369
_cell_length_c 5.182
_cell_angle_alpha 90.00
_cell_angle_beta 90.00
_cell_angle_gamma 90.00
_symmetry_space_group_name_H-M 'I 4/m c m'
_symmetry_Int_Tables_number 140
_symmetry_space_group_name_Hall '-I 4 2c'
loop_
_atom_site_label
_atom_site_type_symbol
_atom_site_fract_x
_atom_site_fract_y
_atom_site_fract_z
Sc1 Sc 0.097 0.403 0.000
In1 In 0.195 0.305 0.500
# Uncorrected energy   -71.9 eV/cell
# Total magnetic moment   0.00 Bohr magnetons per cell
# Calculated volume   34.83 A^3/atom
# DFT formation energy   0.04 eV/atom



# 9
# PBE ScIn2, optimized geometry
data_ScIn2
_cell_length_a 11.641
_cell_length_b 3.433
_cell_length_c 7.451
_cell_angle_alpha 90.00
_cell_angle_beta 104.10
_cell_angle_gamma 90.00
_symmetry_space_group_name_H-M 'C 1 m 1'
_symmetry_Int_Tables_number 8
loop_
_symmetry_equiv_pos_as_xyz
'x,y,z'
'x,-y,z'
'x+1/2,y+1/2,z'
'x+1/2,-y+1/2,z'
loop_
_atom_site_label
_atom_site_type_symbol
_atom_site_fract_x
_atom_site_fract_y
_atom_site_fract_z
Sc1 Sc 0.000 0.000 0.000
Sc2 Sc 0.184 0.500 0.341
In1 In 0.067 0.000 0.605
In2 In 0.216 0.500 0.952
In3 In 0.347 0.000 0.677
In4 In 0.402 0.000 0.270
# Uncorrected energy   -50.0 eV/cell
# Total magnetic moment   0.92 Bohr magnetons per cell
# Calculated volume   24.07 A^3/atom
# DFT formation energy   -0.23 eV/atom



# 10
# PBE Sc5In3, optimized geometry
data_Sc5In3
_cell_length_a 8.389
_cell_length_b 9.411
_cell_length_c 4.673
_cell_angle_alpha 90.00
_cell_angle_beta 90.00
_cell_angle_gamma 90.00
_symmetry_space_group_name_H-M 'C m m m'
_symmetry_Int_Tables_number 65
_symmetry_space_group_name_Hall '-C 2 2'
loop_
_atom_site_label
_atom_site_type_symbol
_atom_site_fract_x
_atom_site_fract_y
_atom_site_fract_z
Sc1 Sc 0.000 0.000 0.000
Sc2 Sc 0.234 0.500 0.500
Sc3 Sc 0.250 0.250 0.000
In1 In 0.000 0.228 0.500
In2 In 0.000 0.500 0.000
# Excess energy over the best structure of this formula in the dataset   12 meV per atom
# Uncorrected energy   -85.2 eV/cell
# Total magnetic moment   3.96 Bohr magnetons per cell
# Calculated volume   23.06 A^3/atom
# DFT formation energy   -0.34 eV/atom



# 11
# PBE ScIn3, optimized geometry
data_ScIn3
_cell_length_a 5.758
_cell_length_b 5.758
_cell_length_c 5.758
_cell_angle_alpha 90.00
_cell_angle_beta 90.00
_cell_angle_gamma 90.00
_symmetry_space_group_name_H-M 'P m -3 m'
_symmetry_Int_Tables_number 221
_symmetry_space_group_name_Hall '-P 4 2 3'
loop_
_atom_site_label
_atom_site_type_symbol
_atom_site_fract_x
_atom_site_fract_y
_atom_site_fract_z
Sc1 Sc 0.000 0.000 0.000
In1 In 0.000 0.000 0.500
# Uncorrected energy   -12.0 eV/cell
# Total magnetic moment   1.83 Bohr magnetons per cell
# Calculated volume   47.73 A^3/atom
# DFT formation energy   0.63 eV/atom



# 12
# PBE ScIn, optimized geometry
data_ScIn
_cell_length_a 5.513
_cell_length_b 6.305
_cell_length_c 10.754
_cell_angle_alpha 90.00
_cell_angle_beta 90.00
_cell_angle_gamma 90.00
_symmetry_space_group_name_H-M 'P 21 21 21'
_symmetry_Int_Tables_number 19
loop_
_symmetry_equiv_pos_as_xyz
'x,y,z'
'-x+1/2,-y,z+1/2'
'x+1/2,-y+1/2,-z'
'-x,y+1/2,-z+1/2'
loop_
_atom_site_label
_atom_site_type_symbol
_atom_site_fract_x
_atom_site_fract_y
_atom_site_fract_z
Sc1 Sc 0.023 0.124 0.235
Sc2 Sc 0.171 0.378 0.521
In1 In 0.020 0.612 0.767
In2 In 0.166 0.888 0.483
# Uncorrected energy   -77.5 eV/cell
# Total magnetic moment   0.00 Bohr magnetons per cell
# Calculated volume   23.36 A^3/atom
# DFT formation energy   -0.31 eV/atom



# 13
# PBE Sc5In3, optimized geometry
data_Sc5In3
_cell_length_a 6.536
_cell_length_b 8.670
_cell_length_c 13.003
_cell_angle_alpha 90.00
_cell_angle_beta 90.00
_cell_angle_gamma 90.00
_symmetry_space_group_name_H-M 'F m m m'
_symmetry_Int_Tables_number 69
_symmetry_space_group_name_Hall '-F 2 2'
loop_
_atom_site_label
_atom_site_type_symbol
_atom_site_fract_x
_atom_site_fract_y
_atom_site_fract_z
Sc1 Sc 0.000 0.000 0.000
Sc2 Sc 0.250 0.250 0.125
In1 In 0.000 0.000 0.243
In2 In 0.000 0.000 0.500
# Excess energy over the best structure of this formula in the dataset   37 meV per atom
# Uncorrected energy   -169.6 eV/cell
# Total magnetic moment   6.61 Bohr magnetons per cell
# Calculated volume   23.03 A^3/atom
# DFT formation energy   -0.32 eV/atom



# 14
# PBE ScIn, optimized geometry
data_ScIn
_cell_length_a 3.449
_cell_length_b 4.469
_cell_length_c 6.181
_cell_angle_alpha 90.00
_cell_angle_beta 90.00
_cell_angle_gamma 90.00
_symmetry_space_group_name_H-M 'P m m n'
_symmetry_Int_Tables_number 59
loop_
_symmetry_equiv_pos_as_xyz
'x,y,z'
'-x,-y,-z'
'-x+1/2,-y+1/2,z'
'x+1/2,y+1/2,-z'
'x+1/2,-y,-z'
'-x+1/2,y,z'
'-x,y+1/2,-z'
'x,-y+1/2,z'
loop_
_atom_site_label
_atom_site_type_symbol
_atom_site_fract_x
_atom_site_fract_y
_atom_site_fract_z
Sc1 Sc 0.250 0.250 0.133
In1 In 0.250 0.250 0.645
# Uncorrected energy   -19.1 eV/cell
# Total magnetic moment   0.00 Bohr magnetons per cell
# Calculated volume   23.82 A^3/atom
# DFT formation energy   -0.23 eV/atom



# 15
# PBE ScIn, optimized geometry
data_ScIn
_cell_length_a 5.2356
_cell_length_b 5.2356
_cell_length_c 12.2096
_cell_angle_alpha 90.00
_cell_angle_beta 90.00
_cell_angle_gamma 120.00
_symmetry_space_group_name_H-M 'P -3 m 1'
_symmetry_Int_Tables_number 164
_symmetry_space_group_name_Hall '-P 3 2"'
loop_
_atom_site_label
_atom_site_type_symbol
_atom_site_fract_x
_atom_site_fract_y
_atom_site_fract_z
Sc1 Sc 0.0000 0.0000 0.1401
Sc2 Sc 0.3333 0.6667 0.1625
Sc3 Sc 0.3333 0.6667 0.4321
In1 In 0.0000 0.0000 0.3802
In2 In 0.3333 0.6667 0.6851
In3 In 0.3333 0.6667 0.9197
# Uncorrected energy   -54.5 eV/cell
# Total magnetic moment   1.71 Bohr magnetons per cell
# Calculated volume   24.15 A^3/atom
# DFT formation energy   -0.01 eV/atom



# 16
# PBE ScIn, optimized geometry
data_ScIn
_cell_length_a 5.1445
_cell_length_b 5.1445
_cell_length_c 8.8592
_cell_angle_alpha 90.00
_cell_angle_beta 90.00
_cell_angle_gamma 120.00
_symmetry_space_group_name_H-M 'P 63/m m c'
_symmetry_Int_Tables_number 194
_symmetry_space_group_name_Hall '-P 6c 2c'
loop_
_atom_site_label
_atom_site_type_symbol
_atom_site_fract_x
_atom_site_fract_y
_atom_site_fract_z
Sc1 Sc 0.0000 0.0000 0.2500
Sc2 Sc 0.3333 0.6667 0.2500
In1 In 0.3333 0.6667 0.5872
# Uncorrected energy   -35.4 eV/cell
# Total magnetic moment   0.00 Bohr magnetons per cell
# Calculated volume   25.38 A^3/atom
# DFT formation energy   0.11 eV/atom



# 17
# PBE ScIn, optimized geometry
data_ScIn
_cell_length_a 4.9587
_cell_length_b 4.9587
_cell_length_c 9.3488
_cell_angle_alpha 90.00
_cell_angle_beta 90.00
_cell_angle_gamma 120.00
_symmetry_space_group_name_H-M 'P 63/m m c'
_symmetry_Int_Tables_number 194
_symmetry_space_group_name_Hall '-P 6c 2c'
loop_
_atom_site_label
_atom_site_type_symbol
_atom_site_fract_x
_atom_site_fract_y
_atom_site_fract_z
Sc1 Sc 0.3333 0.6667 0.0921
In1 In 0.0000 0.0000 0.2500
In2 In 0.3333 0.6667 0.7500
# Uncorrected energy   -36.5 eV/cell
# Total magnetic moment   0.00 Bohr magnetons per cell
# Calculated volume   24.88 A^3/atom
# DFT formation energy   -0.02 eV/atom



# 18
# PBE ScIn, optimized geometry
data_ScIn
_cell_length_a 3.368
_cell_length_b 3.368
_cell_length_c 8.413
_cell_angle_alpha 90.00
_cell_angle_beta 90.00
_cell_angle_gamma 90.00
_symmetry_space_group_name_H-M 'P 4/n m m'
_symmetry_Int_Tables_number 129
loop_
_symmetry_equiv_pos_as_xyz
'x,y,z'
'-x,-y,-z'
'-y+1/2,x,z'
'y+1/2,-x,-z'
'-x+1/2,-y+1/2,z'
'x+1/2,y+1/2,-z'
'y,-x+1/2,z'
'-y,x+1/2,-z'
'x+1/2,-y,-z'
'-x+1/2,y,z'
'-y,-x,-z'
'y,x,z'
'-x,y+1/2,-z'
'x,-y+1/2,z'
'y+1/2,x+1/2,-z'
'-y+1/2,-x+1/2,z'
loop_
_atom_site_label
_atom_site_type_symbol
_atom_site_fract_x
_atom_site_fract_y
_atom_site_fract_z
Sc1 Sc 0.250 0.250 0.129
In1 In 0.250 0.250 0.629
# Uncorrected energy   -18.8 eV/cell
# Total magnetic moment   0.00 Bohr magnetons per cell
# Calculated volume   23.85 A^3/atom
# DFT formation energy   -0.17 eV/atom



# 19
# PBE ScIn2, optimized geometry
data_ScIn2
_cell_length_a 6.893
_cell_length_b 6.893
_cell_length_c 6.893
_cell_angle_alpha 90.00
_cell_angle_beta 90.00
_cell_angle_gamma 90.00
_symmetry_space_group_name_H-M 'F m -3 m'
_symmetry_Int_Tables_number 225
_symmetry_space_group_name_Hall '-F 4 2 3'
loop_
_atom_site_label
_atom_site_type_symbol
_atom_site_fract_x
_atom_site_fract_y
_atom_site_fract_z
Sc1 Sc 0.000 0.000 0.000
In1 In 0.250 0.250 0.250
# Uncorrected energy   -47.7 eV/cell
# Total magnetic moment   0.00 Bohr magnetons per cell
# Calculated volume   27.29 A^3/atom
# DFT formation energy   -0.04 eV/atom



# 20
# PBE ScIn2, optimized geometry
data_ScIn2
_cell_length_a 6.259
_cell_length_b 4.410
_cell_length_c 10.116
_cell_angle_alpha 90.00
_cell_angle_beta 90.00
_cell_angle_gamma 90.00
_symmetry_space_group_name_H-M 'P n m a'
_symmetry_Int_Tables_number 62
loop_
_symmetry_equiv_pos_as_xyz
'x,y,z'
'-x,-y,-z'
'-x+1/2,-y,z+1/2'
'x+1/2,y,-z+1/2'
'x+1/2,-y+1/2,-z+1/2'
'-x+1/2,y+1/2,z+1/2'
'-x,y+1/2,-z'
'x,-y+1/2,z'
loop_
_atom_site_label
_atom_site_type_symbol
_atom_site_fract_x
_atom_site_fract_y
_atom_site_fract_z
Sc1 Sc 0.129 0.250 0.101
In1 In 0.131 0.250 0.428
In2 In 0.132 0.250 0.771
# Uncorrected energy   -51.0 eV/cell
# Total magnetic moment   0.00 Bohr magnetons per cell
# Calculated volume   23.27 A^3/atom
# DFT formation energy   -0.31 eV/atom